No. 1
This record from Alexandria via LeMat-Bulk describes a relaxed structure of YScH. The functional is PBE.

Cell and atoms, written as POSCAR:
```
YScH
1.0
3.486 0.000 0.000
-1.743 3.019 0.000
0.000 0.000 5.349
Y Sc H
1 1 1
direct
0.000 0.000 0.000
0.333 0.667 0.489
0.667 0.333 0.261
```

Properties
Space-group type: P3m1 (156)
VASP energy (eV/atom): -5.61
Excess energy over the best structure of this formula in the dataset (meV per atom): 90

No. 2
This record from Alexandria via LeMat-Bulk describes a relaxed structure of Tb2Pm2SmTm2. The functional is PBE.

Cell and atoms, written as POSCAR:
```
Tb2Pm2SmTm2
1.0
5.844 -1.762 0.000
5.844 1.762 0.000
-3.929 0.000 11.173
Tb Pm Sm Tm
2 2 1 2
direct
0.051 0.051 0.270
0.949 0.949 0.730
0.170 0.170 0.583
0.830 0.830 0.417
0.500 0.500 0.000
0.275 0.275 0.137
0.725 0.725 0.863
```

Properties
Formation energy from the elements (eV/atom): 0.09
Space-group type: C2/m (12)
VASP energy (eV/atom): -4.55

No. 3
This record from Alexandria via LeMat-Bulk describes a relaxed structure of Sm2Dy2Sc7. The functional is PBE.

Cell and atoms, written as POSCAR:
```
Sm2Dy2Sc7
1.0
5.327 -5.479 0.000
5.327 5.479 0.000
-2.321 0.000 5.254
Sm Dy Sc
2 2 7
direct
0.206 0.794 0.000
0.794 0.206 0.000
0.398 0.398 0.683
0.602 0.602 0.317
0.000 0.000 0.500
0.064 0.591 0.324
0.235 0.235 0.075
0.409 0.936 0.676
0.591 0.064 0.324
0.765 0.765 0.925
0.936 0.409 0.676
```

Properties
Formation energy from the elements (eV/atom): 0.15
Space-group type: C2/m (12)
VASP energy (eV/atom): -5.57

No. 4
This record from Alexandria via LeMat-Bulk describes a relaxed structure of VInSnHg2. The functional is PBE.

Cell and atoms, written as POSCAR:
```
VInSnHg2
1.0
5.164 0.000 0.000
0.000 5.164 0.000
0.000 0.000 5.199
V In Sn Hg
1 1 1 2
direct
0.000 0.000 0.000
0.000 0.000 0.500
0.500 0.500 0.500
0.000 0.500 0.000
0.500 0.000 0.000
```

Properties
Formation energy from the elements (eV/atom): 0.60
Space-group type: P4/mmm (123)
VASP energy (eV/atom): -2.69

No. 5
This record from Alexandria via LeMat-Bulk describes a relaxed structure of Pm6Mg2Zn. The functional is PBE.

Cell and atoms, written as POSCAR:
```
Pm6Mg2Zn
1.0
8.813 -4.617 0.000
8.813 4.617 0.000
-0.722 0.000 3.514
Pm Mg Zn
6 2 1
direct
0.142 0.527 0.339
0.222 0.778 0.000
0.473 0.858 0.661
0.527 0.142 0.339
0.778 0.222 0.000
0.858 0.473 0.661
0.162 0.162 0.155
0.838 0.838 0.845
0.500 0.500 0.500
```

Properties
Formation energy from the elements (eV/atom): 0.12
Space-group type: C2/m (12)
VASP energy (eV/atom): -3.54

No. 6
This record from Alexandria via LeMat-Bulk describes a relaxed structure of ZnTc2Os. The functional is PBE.

Cell and atoms, written as POSCAR:
```
ZnTc2Os
1.0
1.378 0.796 8.845
-1.378 0.796 8.845
0.000 -1.592 8.845
Zn Tc Os
1 2 1
direct
0.000 0.000 0.000
0.248 0.248 0.248
0.752 0.752 0.752
0.500 0.500 0.500
```

Properties
Formation energy from the elements (eV/atom): 0.09
Space-group type: R-3m (166)
VASP energy (eV/atom): -8.22

No. 7
This record from Alexandria via LeMat-Bulk describes a relaxed structure of Na3AsRu. The functional is PBE.

Cell and atoms, written as POSCAR:
```
Na3AsRu
1.0
5.519 0.000 0.000
0.000 5.519 0.000
0.000 0.000 5.519
Na As Ru
3 1 1
direct
0.000 0.000 0.500
0.000 0.500 0.000
0.500 0.000 0.000
0.500 0.500 0.500
0.000 0.000 0.000
```

Properties
Formation energy from the elements (eV/atom): 1.14
Space-group type: Pm-3m (221)
VASP energy (eV/atom): -2.44
Excess energy over the best structure of this formula in the dataset (meV per atom): 226

No. 8
This record from Alexandria via LeMat-Bulk describes a relaxed structure of SnSb2TeIr. The functional is PBE.

Cell and atoms, written as POSCAR:
```
SnSb2TeIr
1.0
5.505 0.000 0.000
0.000 5.505 0.000
0.000 0.000 5.493
Sn Sb Te Ir
1 2 1 1
direct
0.000 0.000 0.000
0.000 0.500 0.000
0.500 0.000 0.000
0.000 0.000 0.500
0.500 0.500 0.500
```

Properties
Space-group type: P4/mmm (123)
VASP energy (eV/atom): -3.25
Excess energy over the best structure of this formula in the dataset (meV per atom): 1222
ΔE_f (raw) (meV per atom): 1600